AgMo2Cl | GGA-PBE | relaxed

Output
Space group: Pmmm, No. 47
Excess energy over the best structure of this formula in the dataset: 691.5 meV/atom
Formation energy without anion corrections: 883.8 meV per atom
Density: 8.14 g/cm3

Lattice parameters (Å, degrees): 2.9846 4.6461 4.9342 90.00 90.00 90.00
Last column: nearest neighbours and their distance in Å.
Fractional coordinates of all 4 atoms:
1 Ag 0.0000 0.0000 0.0000  4 Cl 2.76, 4 Mo 2.88, 2 Ag 2.98
2 Mo 0.0000 0.5000 0.5000  6 Mo 2.76-2.98, 4 Cl 2.88
3 Mo 0.5000 0.0000 0.5000  6 Mo 2.76-2.98, 4 Ag 2.88
4 Cl 0.5000 0.5000 0.0000  4 Ag 2.76, 4 Mo 2.88, 2 Cl 2.98